No. 1
A relaxed CaZrTa crystal, computed with PBE.

The structure in POSCAR format:
```
CaZrTa
1.0
3.1734 0.0000 0.0000
-1.5867 2.7483 0.0000
0.0000 0.0000 8.2559
Ca Zr Ta
1 1 1
direct
0.0000 0.0000 0.0128 Ca
0.3333 0.6667 0.6401 Zr
0.6667 0.3333 0.3471 Ta
```

Properties
SG: P3m1
Excess energy over the best structure of this formula in the dataset: 107 meV/atom
Magnetization: 0.53 μB/f.u.
ΔE_f: 0.5277 eV/atom

No. 2
A relaxed NdAl2Cu4Si crystal, computed with PBE.

The structure in POSCAR format:
```
NdAl2Cu4Si
1.0
-2.4695 -3.0110 1.4071
1.6376 -3.3409 1.8170
-0.7277 1.8560 8.7866
Al Si Cu Nd
2 1 4 1
direct
0.7546 0.7546 0.7362 Al
0.2454 0.2454 0.2638 Al
0.5000 0.5000 0.5000 Si
0.8676 0.8676 0.3971 Cu
0.1324 0.1324 0.6029 Cu
0.5908 0.5908 0.2277 Cu
0.4092 0.4092 0.7723 Cu
0.0000 0.0000 0.0000 Nd
```

Properties
SG: R-3m
Electronic total energy: -4.472 eV per atom
Magnetization: 0.00 μB/f.u.

No. 3
A relaxed TbMnRhAu crystal, computed with PBE.

The structure in POSCAR format:
```
TbMnRhAu
1.0
-0.1037 0.9017 4.6576
-2.5147 -2.7886 2.9011
2.2275 -2.8963 3.0275
Tb Rh Mn Au
1 1 1 1
direct
0.2500 0.2500 0.2500 Tb
0.5000 0.5000 0.5000 Rh
0.7500 0.7500 0.7500 Mn
0.0000 0.0000 0.0000 Au
```

Properties
SG: F-43m
Magnetization: 4.61 μB/f.u.
ΔE_f: -0.3944 eV/atom

No. 4
A relaxed LiMg2Al crystal, computed with PBE.

The structure in POSCAR format:
```
LiMg2Al
1.0
5.4688 -0.1802 0.5463
4.4285 3.2138 0.5463
1.5177 0.4652 4.4357
Mg Al Li
2 1 1
direct
0.0073 0.0073 0.9908 Mg
0.2421 0.2421 0.2607 Mg
0.4906 0.4906 0.5074 Al
0.7600 0.7600 0.7412 Li
```

Properties
SG: Cm
Magnetization: 0.00 μB/f.u.
ΔE_f: -0.0366 eV/atom

No. 5
A relaxed Dy3Y4Tm4 crystal, computed with PBE.

The structure in POSCAR format:
```
Dy3Y4Tm4
1.0
3.5201 -0.0022 -0.2998
-0.0479 4.9542 -0.6207
-0.0960 -0.0493 19.6888
Dy Tm Y
3 4 4
direct
0.0000 0.0000 0.0000 Dy
0.6366 0.6360 0.2730 Dy
0.3633 0.3640 0.7270 Dy
0.0915 0.0910 0.1828 Tm
0.2724 0.2725 0.5447 Tm
0.9085 0.9090 0.8172 Tm
0.7275 0.7275 0.4553 Tm
0.5459 0.5456 0.0917 Y
0.1821 0.1819 0.3645 Y
0.8178 0.8181 0.6355 Y
0.4541 0.4544 0.9083 Y
```

Properties
SG: C2/m
Excess energy over the best structure of this formula in the dataset: 0 meV/atom
Magnetization: 0.00 μB/f.u.
ΔE_f: 0.0249 eV/atom

No. 6
A relaxed ThV2Tc crystal, computed with PBE.

The structure in POSCAR format:
```
ThV2Tc
1.0
-0.1957 -0.7336 -3.0320
2.3652 -2.0157 0.3351
-4.8638 -5.4362 1.6291
V Th Tc
2 1 1
direct
0.0000 0.0000 0.1857 V
0.0000 0.0000 0.8143 V
0.5000 0.5000 0.5000 Th
0.5000 0.5000 0.0000 Tc
```

Properties
SG: P4/mmm
Excess energy over the best structure of this formula in the dataset: 0 meV/atom
Magnetization: 1.35 μB/f.u.
ΔE_f: 0.1279 eV/atom

No. 7
A relaxed Si2Ge2Pb crystal, computed with PBE.

The structure in POSCAR format:
```
Si2Ge2Pb
1.0
-3.3757 -3.1578 1.2631
3.2887 -2.5769 2.3466
-0.8592 -0.4967 5.5515
Si Pb Ge
2 1 2
direct
0.3676 0.3676 0.2648 Si
0.6324 0.6324 0.7352 Si
0.0000 0.0000 0.0000 Pb
0.7500 0.2500 0.5000 Ge
0.2500 0.7500 0.5000 Ge
```

Properties
SG: I4/mmm
Excess energy over the best structure of this formula in the dataset: 0 meV/atom
Magnetization: 0.00 μB/f.u.

No. 8
A relaxed CaIrCl crystal, computed with PBE.

The structure in POSCAR format:
```
CaIrCl
1.0
8.1421 0.0000 0.0000
0.0000 5.4064 0.0000
0.0000 0.0000 5.6748
Cl Ir Ca
4 4 4
direct
0.0000 0.5000 0.0000 Cl
0.0000 0.0000 0.0000 Cl
0.5000 0.5000 0.5000 Cl
0.5000 0.0000 0.5000 Cl
0.5000 0.7500 0.8881 Ir
0.5000 0.2500 0.1119 Ir
0.0000 0.2500 0.3881 Ir
0.0000 0.7500 0.6119 Ir
0.7500 0.7500 0.2500 Ca
0.2500 0.2500 0.7500 Ca
0.2500 0.7500 0.2500 Ca
0.7500 0.2500 0.7500 Ca
```

Properties
SG: Imma
Excess energy over the best structure of this formula in the dataset: 885 meV/atom
Magnetization: 0.00 μB/f.u.

No. 9
A relaxed SmDy2Mg6 crystal, computed with PBE.

The structure in POSCAR format:
```
SmDy2Mg6
1.0
-0.7797 -1.8360 2.6246
8.3142 1.3725 3.4287
1.5580 7.1212 5.4431
Mg Dy Sm
6 2 1
direct
0.4991 0.0000 0.6645 Mg
0.5000 0.3355 0.6645 Mg
0.5000 0.6645 0.3355 Mg
0.5009 0.0000 0.3355 Mg
0.5009 0.3355 0.0000 Mg
0.4991 0.6645 0.0000 Mg
0.0000 0.3333 0.3333 Dy
0.0000 0.6667 0.6667 Dy
0.0000 0.0000 0.0000 Sm
```

Properties
SG: P6/mmm
Magnetization: 0.00 μB/f.u.
ΔE_f: -0.0783 eV/atom

No. 10
A relaxed TiPtSe2 crystal, computed with PBE.

The structure in POSCAR format:
```
TiPtSe2
1.0
-0.3888 5.5303 -0.8976
-5.5790 -0.2997 0.5706
-2.4389 3.6028 5.6846
Pt Ti Se
2 2 4
direct
0.0000 0.0000 0.0000 Pt
0.7500 0.2500 0.5000 Pt
0.5000 0.5000 0.0000 Ti
0.2500 0.7500 0.5000 Ti
0.8750 0.8690 0.7500 Se
0.6190 0.1250 0.2500 Se
0.3750 0.3810 0.7500 Se
0.1310 0.6250 0.2500 Se
```

Properties
SG: I-42d
Excess energy over the best structure of this formula in the dataset: 102 meV/atom
Magnetization: 0.00 μB/f.u.

No. 11
A relaxed La4Pm10Dy crystal, computed with PBE.

The structure in POSCAR format:
```
La4Pm10Dy
1.0
-1.8662 -3.9088 6.7310
-1.6081 -8.9493 -0.8837
7.0242 -3.5128 4.6667
Pm La Dy
10 4 1
direct
0.2903 0.2093 0.7907 Pm
0.5004 0.2093 0.2093 Pm
0.7097 0.2093 0.7907 Pm
0.9191 0.7907 0.7907 Pm
0.0809 0.2093 0.2093 Pm
0.2903 0.7907 0.2093 Pm
0.2500 0.5000 0.5000 Pm
0.7500 0.5000 0.5000 Pm
0.4996 0.7907 0.7907 Pm
0.7097 0.7907 0.2093 Pm
0.2271 0.9998 0.5461 La
0.7729 0.0002 0.4539 La
0.7732 0.4539 0.9998 La
0.2268 0.5461 0.0002 La
0.0000 0.0000 0.0000 Dy
```

Properties
SG: I4/mmm
Magnetization: 0.00 μB/f.u.
ΔE_f: 0.2247 eV/atom

No. 12
A relaxed BeRuBr2 crystal, computed with PBE.

The structure in POSCAR format:
```
BeRuBr2
1.0
-4.3131 -3.0624 3.6462
4.6787 -2.5240 3.6075
-3.7134 4.9200 -1.8110
Be Br Ru
1 2 1
direct
0.2586 0.7586 0.5000 Be
0.6766 0.1766 0.5000 Br
0.0961 0.0961 0.0000 Br
0.4686 0.4686 0.0000 Ru
```

Properties
SG: Imm2
Excess energy over the best structure of this formula in the dataset: 401 meV/atom
Magnetization: 2.00 μB/f.u.